Record 1
Here is a geometry-optimized TlFeHg2 structure from Alexandria. Energies are from PBE-GGA.

Lattice parameters (Å, degrees): 5.329 6.751 3.349 60.67 89.78 118.65
Each line ends with the local moment (μB).
Sites, in units of the cell vectors:
Fe 0.500 0.000 0.500  2.99
Hg 0.000 0.000 0.000  -0.01
Hg 0.000 0.500 0.500  -0.01
Tl 0.500 0.500 0.000  -0.02

Properties
Crystal system: monoclinic
Excess energy over the best structure of this formula in the dataset: 155 meV/atom
DFT formation energy: 1.970 eV per formula unit
Raw total energy: -2.366 eV/atom

---

Record 2
Here is a geometry-optimized Tl2FeHg structure from Alexandria. Energies are from PBE-GGA.

Lattice parameters (Å, degrees): 5.682 5.682 5.682 133.82 133.82 67.36
Each line ends with the local moment (μB).
Sites, in units of the cell vectors:
Fe 0.250 0.750 0.500  3.03
Hg 0.750 0.250 0.500  -0.01
Tl 0.000 0.000 0.000  -0.02
Tl 0.500 0.500 0.000  -0.02

Properties
Crystal system: tetragonal
Excess energy over the best structure of this formula in the dataset: 180 meV/atom
DFT formation energy: 2.199 eV per formula unit
Raw total energy: -2.825 eV/atom

---

Record 3
Here is a geometry-optimized TlFeHg2 structure from Alexandria. Energies are from PBE-GGA.

Lattice parameters (Å, degrees): 4.652 3.523 5.945 69.61 90.00 90.00
Each line ends with the local moment (μB).
Sites, in units of the cell vectors:
Fe 0.500 0.750 0.750  2.95
Hg 0.000 0.889 0.972  -0.01
Hg 0.000 0.611 0.528  -0.01
Tl 0.500 0.250 0.250  -0.03

Properties
Crystal system: monoclinic
Excess energy over the best structure of this formula in the dataset: 108 meV/atom
DFT formation energy: 1.779 eV per formula unit
Raw total energy: -2.413 eV/atom

---

Record 4
Here is a geometry-optimized Tl2FeHg structure from Alexandria. Energies are from PBE-GGA.

Lattice parameters (Å, degrees): 3.177 3.177 9.527 90.00 90.00 90.01
Each line ends with the local moment (μB).
Sites, in units of the cell vectors:
Fe 0.500 0.500 0.250  2.86
Hg 0.500 0.500 0.750  0.00
Tl 0.000 0.000 0.049  0.00
Tl 0.000 0.000 0.451  0.00

Properties
Crystal system: tetragonal
Excess energy over the best structure of this formula in the dataset: 75 meV/atom
DFT formation energy: 1.780 eV per formula unit
Raw total energy: -2.929 eV/atom

---

Record 5
Here is a geometry-optimized TlFeHg2 structure from Alexandria. Energies are from PBE-GGA.

Lattice parameters (Å, degrees): 4.118 4.118 10.858 79.07 79.07 90.00
Each line ends with the local moment (μB).
Sites, in units of the cell vectors:
Tl 0.000 0.000 0.000  -0.01
Tl 0.750 0.250 0.500  -0.01
Hg 0.607 0.125 0.250  0.00
Hg 0.143 0.625 0.250  0.00
Hg 0.375 0.393 0.750  -0.01
Hg 0.875 0.857 0.750  -0.01
Fe 0.500 0.500 0.000  0.22
Fe 0.250 0.750 0.500  0.25

Properties
Crystal system: tetragonal
Excess energy over the best structure of this formula in the dataset: 431 meV/atom
DFT formation energy: 3.074 eV per formula unit
Raw total energy: -2.090 eV/atom

---

Record 6
Here is a geometry-optimized Tl2FeHg structure from Alexandria. Energies are from PBE-GGA.

Lattice parameters (Å, degrees): 5.844 5.844 5.844 136.48 136.48 63.23
Each line ends with the local moment (μB).
Sites, in units of the cell vectors:
Fe 0.500 0.500 0.000  2.99
Hg 0.750 0.250 0.500  -0.01
Tl 0.000 0.000 0.000  -0.03
Tl 0.250 0.750 0.500  -0.02

Properties
Crystal system: tetragonal
Excess energy over the best structure of this formula in the dataset: 165 meV/atom
DFT formation energy: 2.137 eV per formula unit
Raw total energy: -2.840 eV/atom